1.
Density functional theory data (GGA-PBE) for an optimized crystal structure of ZnBiPd3.

As for the space-group type: Pm-3m.

POSCAR file:
```
ZnBiPd3
1.0
5.061 0.000 0.000
0.000 5.061 0.000
0.000 0.000 5.061
Pd Bi Zn
3 1 1
Cartesian
0.000 2.531 0.000 Pd
0.000 0.000 2.531 Pd
2.531 0.000 0.000 Pd
0.000 0.000 0.000 Bi
2.531 2.531 2.531 Zn
```


2.
Density functional theory data (GGA-PBE) for an optimized crystal structure of ZnBiPd14.

As for the space-group type: P4/mmm.

POSCAR file:
```
ZnBiPd14
1.0
-3.453 3.931 -2.290
0.879 -2.244 -5.178
-6.060 -4.729 1.020
Pd Bi Zn
14 1 1
Cartesian
-1.375 -2.117 -3.280 Pd
-0.965 0.633 -2.800 Pd
-1.822 -0.976 -0.647 Pd
-2.691 2.598 -3.945 Pd
-4.859 -3.346 -0.136 Pd
-6.168 -2.488 -3.934 Pd
-6.615 -1.347 -1.300 Pd
-3.131 -0.118 -4.445 Pd
-4.412 -4.487 -2.769 Pd
-5.721 0.233 -3.435 Pd
-2.252 1.476 -6.534 Pd
-3.578 1.023 -1.812 Pd
-0.525 -0.489 -5.389 Pd
-3.555 -2.854 -4.879 Pd
-3.995 -1.732 -2.290 Bi
-5.282 -0.888 -6.024 Zn
```


3.
Density functional theory data (GGA-PBE) for an optimized crystal structure of ZnBi2Pd9.

As for the space-group type: P4/mmm.

POSCAR file:
```
ZnBi2Pd9
1.0
4.082 0.000 0.000
0.000 4.082 0.000
0.000 0.000 12.072
Pd Bi Zn
9 2 1
Cartesian
2.041 2.041 8.063 Pd
2.041 0.000 1.863 Pd
2.041 0.000 6.036 Pd
2.041 2.041 0.000 Pd
0.000 2.041 6.036 Pd
2.041 0.000 10.209 Pd
0.000 2.041 1.863 Pd
0.000 2.041 10.209 Pd
2.041 2.041 4.010 Pd
0.000 0.000 8.212 Bi
0.000 0.000 3.861 Bi
0.000 0.000 0.000 Zn
```


4.
Density functional theory data (GGA-PBE) for an optimized crystal structure of ZnBiPd3.

As for the space-group type: P6_3/mmc.

POSCAR file:
```
ZnBiPd3
1.0
4.904 0.000 0.000
0.000 6.584 0.000
0.000 -3.292 5.701
Pd Bi Zn
6 2 2
Cartesian
1.226 4.683 1.097 Pd
1.226 1.900 1.097 Pd
1.226 3.292 3.507 Pd
3.678 1.391 4.604 Pd
3.678 -1.392 4.604 Pd
3.678 0.000 2.194 Pd
1.226 -0.001 3.801 Bi
3.677 3.292 1.900 Bi
0.000 0.000 0.000 Zn
2.452 0.000 0.000 Zn
```


5.
Density functional theory data (GGA-PBE) for an optimized crystal structure of ZnBiPd2.

As for the space-group type: R-3m.

POSCAR file:
```
ZnBiPd2
1.0
-0.175 4.223 -1.391
-3.148 2.729 1.564
1.519 3.492 3.293
Pd Bi Zn
2 1 1
Cartesian
-1.538 7.751 2.371 Pd
-0.266 2.694 1.095 Pd
0.000 0.000 0.000 Bi
-0.902 5.223 1.733 Zn
```


6.
Density functional theory data (GGA-PBE) for an optimized crystal structure of Zn2BiPd7.

As for the space-group type: Cmmm.

POSCAR file:
```
Zn2BiPd7
1.0
-2.351 -2.466 2.860
5.391 -4.726 0.356
-0.077 5.467 4.651
Zn Pd Bi
2 7 1
Cartesian
0.391 1.172 4.791 Zn
2.573 -2.897 3.076 Zn
-0.823 0.099 2.868 Pd
2.506 0.563 6.005 Pd
0.458 -2.288 1.862 Pd
4.199 -2.504 1.292 Pd
1.482 -0.863 3.933 Pd
1.115 3.245 3.715 Pd
3.787 -1.825 4.999 Pd
0.000 0.000 0.000 Bi
```


no.,energy relative to the elements (eV per atom),total magnetization (μB/atom)
1,0.703,0.000
2,-0.136,0.000
3,-0.291,0.000
4,-0.188,0.000
5,-0.267,0.000
6,0.093,0.000